Material: VFe2Pb4
Method: DFT, PBE-GGA
State: optimized geometry

Unit cell a=5.337 b=5.337 c=12.989 alpha=90.00 beta=90.00 gamma=90.00
Space group I4/mmm (No. 139)
Inequivalent atoms, fractional coordinates:
V  0.000  0.000  0.000 x2
Fe  0.000  0.000  0.413 x4
Pb  0.000  0.000  0.206 x4
Pb  0.000  0.500  0.000 x4

Crystal system: tetragonal

---

Material: VFe3Pb
Method: DFT, PBE-GGA
State: optimized geometry

Unit cell a=4.834 b=4.834 c=4.834 alpha=90.00 beta=90.00 gamma=90.00
Space group Pm-3m (No. 221)
Inequivalent atoms, fractional coordinates:
V  0.000  0.000  0.000 x1
Fe  0.000  0.500  0.500 x3
Pb  0.500  0.500  0.500 x1

Crystal system: cubic

---

Summary of total magnetization in μB per formula unit
6.4 11.2
(order as listed above)
Summary of ΔE_f in kJ per mole of atoms
69.1 191.5
(order as listed above)